--- P ---
! BeFeCl2 GGA-PBEsol relaxed; values from VASP
&SYSTEM
  ibrav = 0, nat = 4, ntyp = 3
/
ATOMIC_SPECIES
Fe 55.84 Fe.upf
Be 9.01 Be.upf
Cl 35.45 Cl.upf
ATOMIC_POSITIONS crystal
Fe 0.500 0.500 0.000
Be 0.500 0.500 0.500
Cl 0.000 0.000 0.176
Cl 0.000 0.000 0.824
CELL_PARAMETERS angstrom
2.954 0.000 0.000
0.000 2.954 0.000
0.000 0.000 8.480
! - DOS at the Fermi energy: 1.3 states/eV/f.u.


--- Q ---
! BeFeCl2 GGA-PBEsol relaxed; values from VASP
&SYSTEM
  ibrav = 0, nat = 4, ntyp = 3
/
ATOMIC_SPECIES
Cl 35.45 Cl.upf
Be 9.01 Be.upf
Fe 55.84 Fe.upf
ATOMIC_POSITIONS crystal
Cl 0.750 0.250 0.500
Cl 0.000 0.000 0.000
Be 0.250 0.750 0.500
Fe 0.500 0.500 0.000
CELL_PARAMETERS angstrom
3.280 0.000 0.000
0.000 3.280 0.000
-1.640 -1.640 5.823
! - DOS at the Fermi energy: 4.0 states/eV/f.u.


Verdict on stability: P comes out at the bottom.


--- P ---
! Be2FeCl GGA-PBEsol relaxed; values from VASP
&SYSTEM
  ibrav = 0, nat = 4, ntyp = 3
/
ATOMIC_SPECIES
Be 9.01 Be.upf
Fe 55.84 Fe.upf
Cl 35.45 Cl.upf
ATOMIC_POSITIONS crystal
Be 0.000 0.000 0.996
Be 0.500 0.500 0.131
Fe 0.500 0.500 0.790
Cl 0.000 0.000 0.583
CELL_PARAMETERS angstrom
-2.723 0.005 -0.399
0.351 -1.273 -2.415
-0.492 -6.362 3.282
! - DOS at the Fermi energy: 0.6 states/eV/f.u.


--- Q ---
! Be2FeCl GGA-PBEsol relaxed; values from VASP
&SYSTEM
  ibrav = 0, nat = 4, ntyp = 3
/
ATOMIC_SPECIES
Fe 55.84 Fe.upf
Be 9.01 Be.upf
Cl 35.45 Cl.upf
ATOMIC_POSITIONS crystal
Fe 0.250 0.750 0.500
Be 0.750 0.250 0.500
Be 0.000 0.000 0.000
Cl 0.500 0.500 0.000
CELL_PARAMETERS angstrom
-1.255 1.620 -2.426
1.063 -2.205 -2.023
-3.878 -2.065 2.707
! - DOS at the Fermi energy: 2.9 states/eV/f.u.


Verdict on stability: Q comes out at the bottom.


--- P ---
! Be2HgCl GGA-PBEsol relaxed; values from VASP
&SYSTEM
  ibrav = 0, nat = 4, ntyp = 3
/
ATOMIC_SPECIES
Cl 35.45 Cl.upf
Be 9.01 Be.upf
Hg 200.59 Hg.upf
ATOMIC_POSITIONS crystal
Cl 0.500 0.500 0.500
Be 0.000 0.000 0.000
Be 0.250 0.250 0.250
Hg 0.750 0.750 0.750
CELL_PARAMETERS angstrom
4.665 0.000 0.000
2.333 4.040 0.000
2.333 1.347 3.809
! - DOS at the Fermi energy: 3.1 states/eV/f.u.


--- Q ---
! Be2HgCl GGA-PBEsol relaxed; values from VASP
&SYSTEM
  ibrav = 0, nat = 4, ntyp = 3
/
ATOMIC_SPECIES
Cl 35.45 Cl.upf
Hg 200.59 Hg.upf
Be 9.01 Be.upf
ATOMIC_POSITIONS crystal
Cl 0.000 0.500 0.500
Hg 0.500 0.000 0.000
Be 0.263 0.737 0.737
Be 0.737 0.263 0.263
CELL_PARAMETERS angstrom
-1.202 -1.608 2.140
-0.049 -4.755 -1.589
3.740 -2.439 2.279
! - DOS at the Fermi energy: 1.6 states/eV/f.u.


Verdict on stability: P comes out at the bottom.


--- P ---
! BeIr2Cl GGA-PBEsol relaxed; values from VASP
&SYSTEM
  ibrav = 0, nat = 4, ntyp = 3
/
ATOMIC_SPECIES
Ir 192.22 Ir.upf
Be 9.01 Be.upf
Cl 35.45 Cl.upf
ATOMIC_POSITIONS crystal
Ir 0.000 0.000 0.000
Ir 0.500 0.000 0.500
Be 0.500 0.500 0.000
Cl 0.000 0.500 0.500
CELL_PARAMETERS angstrom
-1.490 1.525 1.697
-3.027 -2.769 -0.171
1.915 -2.327 3.773
! - DOS at the Fermi energy: 2.5 states/eV/f.u.


--- Q ---
! BeIr2Cl GGA-PBEsol relaxed; values from VASP
&SYSTEM
  ibrav = 0, nat = 4, ntyp = 3
/
ATOMIC_SPECIES
Ir 192.22 Ir.upf
Cl 35.45 Cl.upf
Be 9.01 Be.upf
ATOMIC_POSITIONS crystal
Ir 0.197 0.197 0.394
Ir 0.803 0.803 0.606
Cl 0.000 0.500 0.000
Be 0.500 0.000 0.000
CELL_PARAMETERS angstrom
2.752 0.000 0.000
0.000 3.999 0.000
-1.376 -2.000 4.977
! - DOS at the Fermi energy: 3.2 states/eV/f.u.


--- R ---
! BeIr2Cl GGA-PBEsol relaxed; values from VASP
&SYSTEM
  ibrav = 0, nat = 4, ntyp = 3
/
ATOMIC_SPECIES
Be 9.01 Be.upf
Cl 35.45 Cl.upf
Ir 192.22 Ir.upf
ATOMIC_POSITIONS crystal
Be 0.527 0.627 0.054
Cl 0.734 0.624 0.468
Ir 0.255 0.124 0.510
Ir 0.984 0.126 0.968
CELL_PARAMETERS angstrom
-1.316 0.157 -2.425
-2.722 -2.598 1.310
-2.119 3.709 2.964
! - DOS at the Fermi energy: 2.7 states/eV/f.u.


Verdict on stability: P comes out at the bottom.


--- P ---
! BeIrCl GGA-PBEsol relaxed; values from VASP
&SYSTEM
  ibrav = 0, nat = 3, ntyp = 3
/
ATOMIC_SPECIES
Cl 35.45 Cl.upf
Ir 192.22 Ir.upf
Be 9.01 Be.upf
ATOMIC_POSITIONS crystal
Cl 0.500 0.500 0.500
Ir 0.250 0.250 0.250
Be 0.000 0.000 0.000
CELL_PARAMETERS angstrom
3.969 0.000 0.000
1.984 3.437 0.000
1.984 1.146 3.240
! - DOS at the Fermi energy: 1.5 states/eV/f.u.


--- Q ---
! BeIrCl GGA-PBEsol relaxed; values from VASP
&SYSTEM
  ibrav = 0, nat = 3, ntyp = 3
/
ATOMIC_SPECIES
Cl 35.45 Cl.upf
Ir 192.22 Ir.upf
Be 9.01 Be.upf
ATOMIC_POSITIONS crystal
Cl 0.250 0.250 0.250
Ir 0.000 0.000 0.000
Be 0.500 0.500 0.500
CELL_PARAMETERS angstrom
-2.585 2.935 -0.583
-2.283 1.245 2.979
0.635 3.546 1.629
! - DOS at the Fermi energy: 2.1 states/eV/f.u.


Verdict on stability: Q comes out at the bottom.


--- P ---
! BeIrCl2 GGA-PBEsol relaxed; values from VASP
&SYSTEM
  ibrav = 0, nat = 4, ntyp = 3
/
ATOMIC_SPECIES
Ir 192.22 Ir.upf
Cl 35.45 Cl.upf
Be 9.01 Be.upf
ATOMIC_POSITIONS crystal
Ir 0.500 0.500 0.500
Cl 0.943 0.943 0.171
Cl 0.057 0.057 0.829
Be 0.000 0.000 0.000
CELL_PARAMETERS angstrom
-1.282 -1.559 2.201
0.828 -2.824 0.508
7.160 1.875 7.524
! - DOS at the Fermi energy: 3.2 states/eV/f.u.


--- Q ---
! BeIrCl2 GGA-PBEsol relaxed; values from VASP
&SYSTEM
  ibrav = 0, nat = 4, ntyp = 3
/
ATOMIC_SPECIES
Cl 35.45 Cl.upf
Ir 192.22 Ir.upf
Be 9.01 Be.upf
ATOMIC_POSITIONS crystal
Cl 0.311 0.621 0.358
Cl 0.032 0.063 0.934
Ir 0.444 0.887 0.672
Be 0.714 0.428 0.536
CELL_PARAMETERS angstrom
-0.906 -2.788 -0.359
3.541 0.560 -1.140
1.928 -1.495 6.740
! - DOS at the Fermi energy: 2.2 states/eV/f.u.


Verdict on stability: P comes out at the bottom.